A plane-wave DFT calculation with PBE was carried out for a relaxed ErZnCdAu crystal.

Cell: 4.8466 4.8466 4.8466 Å, 60.00 60.00 60.00°
Positions (direct):
Er: 0.2500 0.2500 0.2500
Cd: 0.7500 0.7500 0.7500
Zn: 0.0000 0.0000 0.0000
Au: 0.5000 0.5000 0.5000

symmetry: F-43m
density of states at the Fermi level: 1.7 states/eV per cell
energy: -3.00 eV per atom